(1)
First-principles (PBEsol) data for LiAl2Au after structural relaxation, as listed in the Alexandria database.

Computed properties:
Formation energy   -29.34 kJ/mol of atoms
Crystal system   cubic

Cell: 6.253 6.253 6.253 Å, 90.00 90.00 90.00°
Space group F-43m (No. 216)
One atom of each set of equivalent atoms:
Li: 0.000 0.000 0.000 (multiplicity 4)
Al: 0.000 0.000 0.500 (multiplicity 4)
Al: 0.250 0.250 0.250 (multiplicity 4)
Au: 0.250 0.250 0.750 (multiplicity 4)

---

(2)
First-principles (PBEsol) data for LiAlAu after structural relaxation, as listed in the Alexandria database.

Computed properties:
Formation energy   -35.77 kJ/mol of atoms
Crystal system   hexagonal

Cell: 4.2977 4.2977 5.4214 Å, 90.00 90.00 120.00°
Space group P6_3/mmc (No. 194)
One atom of each set of equivalent atoms:
Li: 0.3333 0.6667 0.2500 (multiplicity 2)
Al: 0.3333 0.6667 0.7500 (multiplicity 2)
Au: 0.0000 0.0000 0.0000 (multiplicity 2)

---

(3)
First-principles (PBEsol) data for LiAl2Au after structural relaxation, as listed in the Alexandria database.

Computed properties:
Formation energy   -31.18 kJ/mol of atoms
Crystal system   orthorhombic

Cell: 3.002 3.743 5.469 Å, 90.00 90.00 90.00°
Space group Pmm2 (No. 25)
One atom of each set of equivalent atoms:
Li: 0.000 0.000 0.000 (multiplicity 1)
Al: 0.000 0.000 0.512 (multiplicity 1)
Al: 0.500 0.500 0.243 (multiplicity 1)
Au: 0.500 0.500 0.754 (multiplicity 1)

---

(4)
First-principles (PBEsol) data for LiAlAu2 after structural relaxation, as listed in the Alexandria database.

Computed properties:
Formation energy   -48.36 kJ/mol of atoms
Crystal system   monoclinic

Cell: 9.262 3.095 4.412 Å, 90.00 105.27 90.00°
Space group Cm (No. 8)
One atom of each set of equivalent atoms:
Li: 0.000 0.000 0.000 (multiplicity 2)
Al: 0.238 0.000 0.653 (multiplicity 2)
Au: 0.001 0.500 0.506 (multiplicity 2)
Au: 0.242 0.500 0.150 (multiplicity 2)

---

(5)
First-principles (PBEsol) data for LiAl2Au after structural relaxation, as listed in the Alexandria database.

Computed properties:
Formation energy   -35.89 kJ/mol of atoms
Crystal system   tetragonal

Cell: 3.972 3.972 3.823 Å, 90.00 90.00 90.00°
Space group P4/mmm (No. 123)
One atom of each set of equivalent atoms:
Li: 0.000 0.000 0.000 (multiplicity 1)
Al: 0.000 0.500 0.500 (multiplicity 2)
Au: 0.500 0.500 0.000 (multiplicity 1)

---

(6)
First-principles (PBEsol) data for LiAlAu2 after structural relaxation, as listed in the Alexandria database.

Computed properties:
Formation energy   -47.77 kJ/mol of atoms
Crystal system   orthorhombic

Cell: 3.026 3.226 6.151 Å, 90.00 90.00 90.00°
Space group Pmmm (No. 47)
One atom of each set of equivalent atoms:
Li: 0.000 0.000 0.000 (multiplicity 1)
Al: 0.000 0.000 0.500 (multiplicity 1)
Au: 0.500 0.500 0.248 (multiplicity 2)

---

(7)
First-principles (PBEsol) data for LiAl2Au2 after structural relaxation, as listed in the Alexandria database.

Computed properties:
Formation energy   -40.92 kJ/mol of atoms
Crystal system   tetragonal

Cell: 7.453 7.453 2.997 Å, 90.00 90.00 90.00°
Space group P4/mbm (No. 127)
One atom of each set of equivalent atoms:
Li: 0.000 0.000 0.000 (multiplicity 2)
Al: 0.156 0.344 0.500 (multiplicity 4)
Au: 0.143 0.643 0.000 (multiplicity 4)

---

(8)
First-principles (PBEsol) data for MgAlAu after structural relaxation, as listed in the Alexandria database.

Computed properties:
Formation energy   -40.65 kJ/mol of atoms
Crystal system   cubic

Cell: 6.172 6.172 6.172 Å, 90.00 90.00 90.00°
Space group F-43m (No. 216)
One atom of each set of equivalent atoms:
Mg: 0.000 0.000 0.000 (multiplicity 4)
Al: 0.000 0.000 0.500 (multiplicity 4)
Au: 0.250 0.250 0.750 (multiplicity 4)

---

(9)
First-principles (PBEsol) data for MgAl3Au after structural relaxation, as listed in the Alexandria database.

Computed properties:
Formation energy   24.66 kJ/mol of atoms
Crystal system   cubic

Cell: 4.874 4.874 4.874 Å, 90.00 90.00 90.00°
Space group Pm-3m (No. 221)
One atom of each set of equivalent atoms:
Mg: 0.000 0.000 0.000 (multiplicity 1)
Al: 0.000 0.500 0.500 (multiplicity 3)
Au: 0.500 0.500 0.500 (multiplicity 1)

---

(10)
First-principles (PBEsol) data for MgAlAu after structural relaxation, as listed in the Alexandria database.

Computed properties:
Formation energy   -37.31 kJ/mol of atoms
Crystal system   hexagonal

Cell: 4.4065 4.4065 3.1863 Å, 90.00 90.00 120.00°
Space group P-6m2 (No. 187)
One atom of each set of equivalent atoms:
Mg: 0.0000 0.0000 0.0000 (multiplicity 1)
Al: 0.3333 0.6667 0.5000 (multiplicity 1)
Au: 0.6667 0.3333 0.5000 (multiplicity 1)

---

(11)
First-principles (PBEsol) data for MgAlAu3 after structural relaxation, as listed in the Alexandria database.

Computed properties:
Formation energy   10.96 kJ/mol of atoms
Crystal system   cubic

Cell: 4.753 4.753 4.753 Å, 90.00 90.00 90.00°
Space group Pm-3m (No. 221)
One atom of each set of equivalent atoms:
Mg: 0.000 0.000 0.000 (multiplicity 1)
Al: 0.500 0.500 0.500 (multiplicity 1)
Au: 0.000 0.500 0.500 (multiplicity 3)

---

(12)
First-principles (PBEsol) data for MgAlAu after structural relaxation, as listed in the Alexandria database.

Computed properties:
Formation energy   -33.77 kJ/mol of atoms
Crystal system   tetragonal

Cell: 3.500 3.500 8.391 Å, 90.00 90.00 90.00°
Space group I4mm (No. 107)
One atom of each set of equivalent atoms:
Mg: 0.000 0.000 0.000 (multiplicity 2)
Al: 0.000 0.000 0.322 (multiplicity 2)
Au: 0.000 0.000 0.668 (multiplicity 2)